1.
Ga2FeIr | PBE | optimized geometry

a = 2.975 Å, b = 2.975 Å, c = 5.947 Å
α = 90.00°, β = 90.00°, γ = 90.00°
Site moments in Bohr magnetons follow the coordinates.
Sites, in units of the cell vectors:
Fe  0.500  0.500  0.000  0.49
Ir  0.500  0.500  0.500  -0.02
Ga  0.000  0.000  0.767  -0.02
Ga  0.000  0.000  0.233  -0.02

Calculated values
**Final energy**: -24.32 eV/cell
**Space-group type**: P4/mmm
**Energy of formation from the pure elements**: -0.237 eV/atom
**Theoretical density**: 12.2 g cm⁻³

***

2.
GaFe3Ir4 | PBE | optimized geometry

a = 4.494 Å, b = 5.579 Å, c = 8.672 Å
α = 90.00°, β = 90.00°, γ = 90.00°
Site moments in Bohr magnetons follow the coordinates.
Sites, in units of the cell vectors:
Ga  0.000  0.500  0.000  -0.01
Ga  0.000  0.500  0.500  -0.01
Fe  0.624  0.500  0.750  2.54
Fe  0.376  0.500  0.250  2.54
Fe  0.000  0.000  0.500  2.70
Fe  0.363  0.000  0.250  2.48
Fe  0.637  0.000  0.750  2.48
Fe  0.000  0.000  0.000  2.70
Ir  0.500  0.754  0.000  0.19
Ir  0.500  0.246  0.500  0.19
Ir  0.129  0.753  0.750  0.20
Ir  0.871  0.247  0.250  0.20
Ir  0.871  0.753  0.250  0.20
Ir  0.500  0.754  0.500  0.19
Ir  0.129  0.247  0.750  0.20
Ir  0.500  0.246  0.000  0.19

Calculated values
**Final energy**: -129.00 eV/cell
**Space-group type**: Pmma
**Energy of formation from the pure elements**: -0.080 eV/atom
**Theoretical density**: 15.4 g cm⁻³

***

3.
GaFe2Ir2 | PBE | optimized geometry

a = 7.156 Å, b = 7.156 Å, c = 2.699 Å
α = 90.00°, β = 90.00°, γ = 90.00°
Sites, in units of the cell vectors:
Ir  0.868  0.632  0.000
Ir  0.368  0.868  0.000
Ir  0.632  0.132  0.000
Ir  0.132  0.368  0.000
Fe  0.335  0.165  0.500
Fe  0.835  0.335  0.500
Fe  0.165  0.665  0.500
Fe  0.665  0.835  0.500
Ga  0.000  0.000  0.000
Ga  0.500  0.500  0.000

Calculated values
**Final energy**: -73.33 eV/cell
**Space-group type**: P4/mbm
**Energy of formation from the pure elements**: 0.202 eV/atom
**Theoretical density**: 13.6 g cm⁻³

***

4.
GaFe6Ir | PBE | optimized geometry

a = 4.131 Å, b = 4.131 Å, c = 7.139 Å
α = 90.04°, β = 73.18°, γ = 60.00°
Site moments in Bohr magnetons follow the coordinates.
Sites, in units of the cell vectors:
Fe  0.250  0.375  0.125  2.34
Fe  0.250  0.875  0.625  2.58
Fe  0.503  0.748  0.245  2.52
Fe  0.497  0.252  0.755  2.52
Fe  0.750  0.625  0.875  2.34
Fe  0.750  0.125  0.375  2.58
Ir  0.000  0.500  0.500  0.73
Ga  0.000  0.000  0.000  -0.13

Calculated values
**Final energy**: -63.17 eV/cell
**Space-group type**: R-3m
**Energy of formation from the pure elements**: -0.063 eV/atom
**Theoretical density**: 10.0 g cm⁻³

***

5.
GaFe2Ir | PBE | optimized geometry

a = 2.683 Å, b = 2.683 Å, c = 7.235 Å
α = 90.00°, β = 90.00°, γ = 90.00°
Site moments in Bohr magnetons follow the coordinates.
Sites, in units of the cell vectors:
Ga  0.500  0.500  0.500  -0.10
Ir  0.500  0.500  0.000  0.16
Fe  0.000  0.000  0.748  2.25
Fe  0.000  0.000  0.252  2.25

Calculated values
**Final energy**: -29.08 eV/cell
**Space-group type**: P4/mmm
**Energy of formation from the pure elements**: -0.066 eV/atom
**Theoretical density**: 11.9 g cm⁻³

***

6.
Ga3FeIr4 | PBE | optimized geometry

a = 4.324 Å, b = 6.043 Å, c = 8.647 Å
α = 90.00°, β = 90.00°, γ = 90.00°
Site moments in Bohr magnetons follow the coordinates.
Sites, in units of the cell vectors:
Ga  0.000  0.000  0.500  0.01
Ga  0.500  0.000  0.250  -0.01
Ga  0.000  0.000  0.000  0.01
Ga  0.500  0.000  0.750  -0.01
Ga  0.500  0.500  0.750  0.01
Ga  0.500  0.500  0.250  0.01
Ir  0.000  0.751  0.750  0.27
Ir  0.000  0.751  0.250  0.27
Ir  0.000  0.249  0.250  0.27
Ir  0.500  0.751  0.500  0.27
Ir  0.500  0.249  0.000  0.27
Ir  0.500  0.249  0.500  0.27
Ir  0.500  0.751  0.000  0.27
Ir  0.000  0.249  0.750  0.27
Fe  0.000  0.500  0.000  3.17
Fe  0.000  0.500  0.500  3.17

Calculated values
**Final energy**: -110.82 eV/cell
**Space-group type**: P4/mmm
**Energy of formation from the pure elements**: -0.303 eV/atom
**Theoretical density**: 15.2 g cm⁻³

***

7.
Ga2FeIr | PBE | optimized geometry

a = 4.139 Å, b = 4.139 Å, c = 4.917 Å
α = 65.11°, β = 65.11°, γ = 60.00°
Site moments in Bohr magnetons follow the coordinates.
Sites, in units of the cell vectors:
Ga  0.068  0.068  0.795  -0.04
Ga  0.266  0.266  0.201  -0.04
Fe  0.482  0.482  0.553  2.78
Ir  0.683  0.683  0.950  0.24

Calculated values
**Final energy**: -23.60 eV/cell
**Space-group type**: R3m
**Energy of formation from the pure elements**: -0.056 eV/atom
**Theoretical density**: 10.1 g cm⁻³

***

8.
GaFe5Ir6 | PBE | optimized geometry

a = 4.507 Å, b = 5.482 Å, c = 6.519 Å
α = 90.00°, β = 94.14°, γ = 90.00°
Site moments in Bohr magnetons follow the coordinates.
Sites, in units of the cell vectors:
Ir  0.836  0.748  0.663  0.10
Ir  0.836  0.252  0.663  0.10
Ir  0.164  0.748  0.337  0.10
Ir  0.500  0.747  0.000  0.12
Ir  0.164  0.252  0.337  0.10
Ir  0.500  0.253  0.000  0.12
Fe  0.658  0.500  0.338  2.36
Fe  0.000  0.500  0.000  2.72
Fe  0.652  0.000  0.340  2.15
Fe  0.348  0.000  0.660  2.15
Fe  0.342  0.500  0.662  2.36
Ga  0.000  0.000  0.000  -0.01

Calculated values
**Final energy**: -99.32 eV/cell
**Space-group type**: P2/m
**Energy of formation from the pure elements**: -0.068 eV/atom
**Theoretical density**: 15.5 g cm⁻³

***

9.
Ga2FeIr2 | PBE | optimized geometry

a = 7.136 Å, b = 7.136 Å, c = 2.935 Å
α = 90.00°, β = 90.00°, γ = 90.00°
Site moments in Bohr magnetons follow the coordinates.
Sites, in units of the cell vectors:
Ga  0.347  0.153  0.500  0.01
Ga  0.653  0.847  0.500  0.01
Ga  0.153  0.653  0.500  0.01
Ga  0.847  0.347  0.500  0.01
Ir  0.147  0.353  0.000  0.15
Ir  0.647  0.147  0.000  0.14
Ir  0.853  0.647  0.000  0.15
Ir  0.353  0.853  0.000  0.14
Fe  0.500  0.500  0.000  3.11
Fe  0.000  0.000  0.000  3.12

Calculated values
**Final energy**: -65.97 eV/cell
**Space-group type**: P4/mbm
**Energy of formation from the pure elements**: -0.150 eV/atom
**Theoretical density**: 12.9 g cm⁻³

***

10.
GaFeIr | PBE | optimized geometry

a = 2.773 Å, b = 4.172 Å, c = 4.172 Å
α = 120.00°, β = 90.00°, γ = 90.00°
Site moments in Bohr magnetons follow the coordinates.
Sites, in units of the cell vectors:
Ga  0.675  0.667  0.333  -0.04
Fe  0.375  0.333  0.667  2.70
Ir  0.950  0.000  0.000  0.29

Calculated values
**Final energy**: -20.70 eV/cell
**Space-group type**: P3m1
**Energy of formation from the pure elements**: -0.117 eV/atom
**Theoretical density**: 12.6 g cm⁻³

***

11.
Ga2FeIr | PBE | optimized geometry

a = 6.808 Å, b = 6.808 Å, c = 5.498 Å
α = 51.75°, β = 51.75°, γ = 90.00°
Site moments in Bohr magnetons follow the coordinates.
Sites, in units of the cell vectors:
Ga  0.125  0.625  0.250  -0.04
Ga  0.875  0.875  0.750  -0.04
Ga  0.625  0.125  0.250  -0.04
Ga  0.375  0.375  0.750  -0.04
Fe  0.250  0.750  0.500  2.54
Fe  0.500  0.500  0.000  2.54
Ir  0.000  0.000  0.000  0.15
Ir  0.750  0.250  0.500  0.16

Calculated values
**Final energy**: -45.25 eV/cell
**Space-group type**: I-42d
**Energy of formation from the pure elements**: 0.188 eV/atom
**Theoretical density**: 10.5 g cm⁻³

***

12.
GaFe2Ir | PBE | optimized geometry

a = 3.594 Å, b = 3.594 Å, c = 9.322 Å
α = 78.89°, β = 78.89°, γ = 90.00°
Site moments in Bohr magnetons follow the coordinates.
Sites, in units of the cell vectors:
Fe  0.375  0.387  0.750  2.68
Fe  0.875  0.863  0.750  2.68
Fe  0.137  0.625  0.250  2.68
Fe  0.613  0.125  0.250  2.68
Ir  0.750  0.250  0.500  0.34
Ir  0.000  0.000  0.000  0.34
Ga  0.250  0.750  0.500  -0.05
Ga  0.500  0.500  0.000  -0.05

Calculated values
**Final energy**: -55.51 eV/cell
**Space-group type**: I-42d
**Energy of formation from the pure elements**: 0.265 eV/atom
**Theoretical density**: 10.7 g cm⁻³

***

Q: Number 2 is which compound?
A: GaFe3Ir4